WBrO2 | PBE+U | optimized geometry

abc: 10.1599 10.1599 10.1599
angles: 18.10 18.10 18.10
With the nearest neighbours (Å) after each atom.
Atoms (fractional coordinates):
O 0.8668 0.8668 0.8668  3 W 2.10
O 0.1332 0.1332 0.1332  3 W 2.10
Br 0.0000 0.0000 0.0000  6 Br 3.20
W 0.5000 0.5000 0.5000  6 O 2.10

Computed properties:
The total magnetization comes out at 0.50 μB/atom. The space group is R-3m. Its offset from the most stable computed form is 0.000 eV/atom. The total DFT energy (no corrections) comes out at -5.871 eV/atom.